Here is crystalline Mo2P3O13 at its relaxed geometry from Alexandria via LeMat-Bulk. Energies are from GGA+U.

Cell and atoms, written as POSCAR:
```
Mo2P3O13
1.0
6.461 0.000 0.000
0.000 22.695 0.000
-5.207 0.000 7.046
Mo P O
8 12 52
Cartesian
-1.129 1.357 1.943
-3.732 9.991 5.466
-3.420 16.024 6.718
-0.817 18.018 3.195
2.071 4.676 3.851
4.675 6.671 0.328
4.987 12.704 1.580
2.383 21.338 5.103
-3.176 13.257 4.522
-0.573 20.785 0.999
-1.229 4.581 2.908
-3.832 6.766 6.431
2.029 2.198 1.473
-0.575 9.149 4.996
1.829 13.546 2.050
-0.774 20.496 5.572
5.087 15.929 0.615
2.483 18.113 4.137
1.827 1.910 6.047
4.431 9.438 2.524
-4.174 5.443 5.662
-1.571 5.905 2.139
-3.980 0.622 5.546
-1.377 10.725 2.023
-1.061 3.450 1.910
-3.664 7.897 5.433
-2.407 4.344 3.897
0.196 7.003 0.374
-1.921 13.048 3.700
0.683 20.994 0.178
-3.060 14.263 5.666
-0.456 19.779 2.143
-1.280 1.270 3.632
1.323 10.078 0.109
-3.522 2.612 7.020
-0.918 8.735 3.497
-0.957 16.511 3.966
1.646 17.531 0.443
0.497 12.840 2.067
-2.107 21.202 5.590
0.943 1.293 2.030
-1.660 10.054 5.553
1.777 14.926 1.319
-0.826 19.116 4.842
0.057 4.782 3.745
2.660 6.566 0.222
-1.406 16.129 6.824
1.197 17.913 3.301
2.081 3.579 2.204
-0.523 7.768 5.727
2.915 12.640 1.493
0.312 21.401 5.016
3.361 1.492 1.456
0.758 9.855 4.979
-0.392 5.163 6.603
2.212 6.184 3.080
2.173 13.960 3.549
4.776 20.082 0.026
-0.068 12.617 6.937
2.535 21.425 3.414
1.711 2.916 4.902
4.314 8.432 1.379
0.572 1.701 6.868
3.175 9.647 3.345
1.059 15.692 6.671
3.662 18.350 3.149
4.919 14.798 1.613
2.315 19.244 5.136
2.632 11.970 5.023
5.235 22.072 1.500
2.826 16.790 4.907
5.429 17.252 1.384
```

Magnetization: 4.000 Bohr magnetons per cell
VASP energy: -517.6 eV per cell
E above lowest polymorph: 0.9 kJ/mol of atoms
Calculated volume: 14.350 A^3/atom